[1]
CaLa2PbF at its PBEsol-relaxed geometry, computed with meta-GGA SCAN. Values from VASP.

Values from the calculation:
V in Å³/atom: 37.11
Space group: No. 123
Raw formation energy in meV per atom: -354.4
Density of states at the Fermi level in states/eV per atom: 1.306

Geometry as Quantum ESPRESSO input:
```
&SYSTEM
  ibrav = 0, nat = 5, ntyp = 4
/
ATOMIC_SPECIES
F 19.00 F.upf
Ca 40.08 Ca.upf
La 138.91 La.upf
Pb 207.20 Pb.upf
CELL_PARAMETERS angstrom
-3.6754 -2.1168 -1.8363
3.7089 -4.7572 -1.9394
-1.0018 -3.0158 5.4817
ATOMIC_POSITIONS angstrom
F -1.8377 -1.0584 -0.9181
Ca -0.4841 -4.9449 0.8530
La -0.5009 -1.5079 2.7409
La 1.8544 -2.3786 -0.9697
Pb 0.0000 0.0000 0.0000
```

[2]
CrTc2HO at its PBEsol-relaxed geometry, computed with meta-GGA SCAN. Values from VASP.

Values from the calculation:
V in Å³/atom: 14.01
Calculated total energy in eV/atom: -18.455
Space group: No. 123
Density of states at the Fermi level in states/eV per atom: 0.620

Geometry as Quantum ESPRESSO input:
```
&SYSTEM
  ibrav = 0, nat = 5, ntyp = 4
/
ATOMIC_SPECIES
O 16.00 O.upf
Tc 98.00 Tc.upf
Cr 52.00 Cr.upf
H 1.01 H.upf
CELL_PARAMETERS angstrom
-1.7072 -2.6625 -1.4098
3.8678 -2.2569 -0.4214
-0.5948 -1.7824 4.0866
ATOMIC_POSITIONS angstrom
O -0.8536 -1.3313 -0.7049
Tc -0.2974 -0.8912 2.0433
Tc 1.9339 -1.1284 -0.2107
Cr 0.0000 0.0000 0.0000
H 0.7829 -3.3509 1.1277
```

[3]
Na4Ge9O20 at its PBEsol-relaxed geometry, computed with meta-GGA SCAN. Values from VASP.

Values from the calculation:
V in Å³/atom: 12.73
Space group: No. 88
Raw formation energy in meV per atom: -1879.4
Density of states at the Fermi level in states/eV per atom: 0.000

Geometry as Quantum ESPRESSO input:
```
&SYSTEM
  ibrav = 0, nat = 66, ntyp = 3
/
ATOMIC_SPECIES
O 16.00 O.upf
Ge 72.64 Ge.upf
Na 22.99 Na.upf
CELL_PARAMETERS angstrom
7.4293 0.0000 0.0000
3.7147 10.6338 0.0000
3.7147 0.0000 10.6338
ATOMIC_POSITIONS angstrom
O 0.8792 1.4060 0.5830
O 8.4102 2.4444 8.7025
O 6.5200 10.0799 1.1553
O 10.2353 7.4707 10.5041
O 2.7338 1.9314 2.4444
O 6.4813 4.7630 6.4722
O 10.2648 10.0509 1.4060
O 5.8351 3.8901 0.1052
O 8.3380 0.1297 7.4707
O 8.4075 3.9109 4.7340
O 2.8059 3.1631 0.1297
O 4.5911 2.8725 7.2483
O 4.6633 5.4466 2.1538
O 6.4807 2.1538 5.1872
O 4.5911 7.7613 3.3855
O 5.3089 0.1052 6.7437
O 4.6627 4.1616 4.7630
O 10.2648 0.5830 9.2278
O 6.4813 5.8708 4.1616
O 6.4807 8.4800 5.4466
O 10.1658 5.8999 3.9109
O 4.6627 6.4722 5.8708
O 3.4515 1.4268 5.2118
O 12.0926 5.1872 8.4800
O 8.3085 9.2278 10.0509
O 4.6240 1.1553 0.5539
O 8.3380 10.5041 3.1631
O 12.0533 9.4785 10.0799
O 6.5528 3.3855 2.8725
O 8.4075 6.7229 5.8999
O 6.5528 7.2483 7.7613
O 13.2644 6.7437 10.5287
O 7.6924 5.4221 1.4268
O 6.5200 0.5539 9.4785
O 5.3089 10.5287 3.8901
O 7.6924 5.2118 9.2070
O 10.1658 4.7340 6.7229
O 10.8809 9.2070 5.4221
O 8.4102 8.1894 1.9314
O 10.1631 8.7025 8.1894
Ge 10.5822 9.9177 7.0128
Ge 3.1529 0.7162 3.6210
Ge 9.2867 5.3169 5.3169
Ge 2.7136 1.3635 0.6743
Ge 6.5731 3.9534 4.6426
Ge 4.5709 5.9912 3.9534
Ge 7.9911 3.6210 9.9177
Ge 6.5731 6.6804 5.9912
Ge 5.0102 8.9379 4.6007
Ge 8.4304 9.9595 1.3635
Ge 6.1338 4.6007 1.6959
Ge 8.4304 0.6743 9.2704
Ge 6.1338 6.0331 8.9379
Ge 10.1429 9.2704 9.9595
Ge 7.9911 7.0128 0.7162
Ge 4.5709 4.6426 6.6804
Ge 0.0000 0.0000 0.0000
Ge 5.0102 1.6959 6.0331
Na 9.6270 6.4499 8.3146
Na 8.9463 8.3146 4.1840
Na 8.9463 2.3193 6.4499
Na 4.0550 7.6362 1.1329
Na 11.4843 2.9977 9.5009
Na 7.0890 1.1329 2.9977
Na 9.6270 4.1840 2.3193
Na 7.0890 9.5009 7.6362
```

[4]
Cs2NiH12S2O14 at its PBEsol-relaxed geometry, computed with meta-GGA SCAN. Values from VASP.

Values from the calculation:
V in Å³/atom: 11.16
Calculated total energy in eV/atom: -9.151
Space group: No. 14
Density of states at the Fermi level in states/eV per atom: 0.000

Geometry as Quantum ESPRESSO input:
```
&SYSTEM
  ibrav = 0, nat = 62, ntyp = 5
/
ATOMIC_SPECIES
O 16.00 O.upf
H 1.01 H.upf
Cs 132.91 Cs.upf
S 32.06 S.upf
Ni 58.69 Ni.upf
CELL_PARAMETERS angstrom
6.3148 -0.0078 0.0000
-2.5696 8.7102 0.0000
0.0000 0.0000 12.5851
ATOMIC_POSITIONS angstrom
O 3.0972 2.2967 11.5404
O -1.2092 8.4152 5.3451
O -1.2848 5.5865 2.2947
O 1.8551 -0.0011 0.7894
O 2.7736 3.6846 9.5862
O 5.0300 3.1159 10.2904
O -0.6902 5.7128 7.7178
O 4.9544 0.2873 7.2400
O 0.5704 4.3540 5.5032
O 0.5945 1.3576 11.1598
O 3.1507 7.3448 1.4253
O 1.8124 6.6518 7.3373
O 1.8901 8.7036 11.7958
O 0.0756 4.0601 0.9475
O 3.6696 4.6424 11.6376
O 5.7929 1.4824 1.3480
O 0.0000 1.2314 3.9979
O 0.6480 6.4058 1.0448
O 1.4888 8.0398 9.2915
O 4.4355 2.9897 4.8673
O 4.5082 5.8375 4.9446
O 3.1748 4.3485 7.0819
O 3.7452 7.4710 8.5872
O -2.0477 7.2201 11.2372
O 0.9716 5.0178 2.9989
O 2.2564 0.6627 3.2936
O 1.9328 2.0506 5.2478
O -0.7630 2.8650 7.6405
H -0.2093 7.8495 0.7284
H 4.0282 7.4010 10.2832
H -0.2829 1.3015 2.3019
H 0.5929 4.5754 4.5250
H -1.3773 6.4092 7.9173
H 1.4736 1.7913 11.3680
H -1.5052 6.7859 5.1188
H 5.2504 1.9166 7.4663
H 5.1225 2.2933 4.6678
H 3.9656 6.2717 11.4114
H 3.8378 6.6484 1.6247
H 1.8676 8.4822 10.8176
H 5.3129 3.0458 8.5944
H -1.5677 5.6566 3.9907
H -0.2204 2.4308 1.1737
H 2.2716 6.9112 1.2171
H 0.1889 6.1464 7.5097
H 3.1523 4.1271 8.0601
H 1.8777 0.2202 1.7675
H 2.6698 5.2081 7.0209
H -0.0926 2.0541 10.9604
H 1.0754 3.4944 5.5642
H 3.5563 2.5561 5.0754
H 3.9545 0.8530 11.8567
Cs 3.1554 3.1922 1.8423
Cs 1.8706 7.5473 4.4502
Cs 0.5898 5.5103 10.7428
Cs 1.8746 1.1552 8.1349
S 2.3640 7.8031 8.1167
S 3.6488 3.4480 10.7610
S 1.3812 0.8994 4.4684
S 0.0965 5.2545 1.8241
Ni 0.0000 0.0000 0.0000
Ni -1.2848 4.3551 6.2926
```

[5]
BRuSeBr2 at its PBEsol-relaxed geometry, computed with meta-GGA SCAN. Values from VASP.

Values from the calculation:
V in Å³/atom: 23.81
Space group: No. 123
Raw formation energy in meV per atom: 1046.4
Density of states at the Fermi level in states/eV per atom: 0.491

Geometry as Quantum ESPRESSO input:
```
&SYSTEM
  ibrav = 0, nat = 5, ntyp = 4
/
ATOMIC_SPECIES
B 10.81 B.upf
Se 78.96 Se.upf
Ru 101.07 Ru.upf
Br 79.90 Br.upf
CELL_PARAMETERS angstrom
-3.3759 -3.0286 0.4220
3.3709 -3.5536 1.4630
-0.6435 1.3966 4.8751
ATOMIC_POSITIONS angstrom
B -0.3243 -2.5928 3.3801
Se -1.6880 -1.5143 0.2110
Ru 0.0000 0.0000 0.0000
Br -0.3218 0.6983 2.4375
Br 1.6854 -1.7768 0.7315
```

[6]
CdRh at its PBEsol-relaxed geometry, computed with meta-GGA SCAN. Values from VASP.

Values from the calculation:
V in Å³/atom: 25.35
Calculated total energy in eV/atom: -30.841
Space group: No. 216
Density of states at the Fermi level in states/eV per atom: 1.744

Geometry as Quantum ESPRESSO input:
```
&SYSTEM
  ibrav = 0, nat = 2, ntyp = 2
/
ATOMIC_SPECIES
Cd 112.41 Cd.upf
Rh 102.91 Rh.upf
CELL_PARAMETERS angstrom
4.1542 0.0000 0.0000
2.0771 3.5976 0.0000
2.0771 1.1992 3.3919
ATOMIC_POSITIONS angstrom
Cd 0.0000 0.0000 0.0000
Rh 6.2313 3.5976 2.5439
```

Repeat the fourth record exactly.
Cs2NiH12S2O14 at its PBEsol-relaxed geometry, computed with meta-GGA SCAN. Values from VASP.

Values from the calculation:
V in Å³/atom: 11.16
Calculated total energy in eV/atom: -9.151
Space group: No. 14
Density of states at the Fermi level in states/eV per atom: 0.000

Geometry as Quantum ESPRESSO input:
```
&SYSTEM
  ibrav = 0, nat = 62, ntyp = 5
/
ATOMIC_SPECIES
O 16.00 O.upf
H 1.01 H.upf
Cs 132.91 Cs.upf
S 32.06 S.upf
Ni 58.69 Ni.upf
CELL_PARAMETERS angstrom
6.3148 -0.0078 0.0000
-2.5696 8.7102 0.0000
0.0000 0.0000 12.5851
ATOMIC_POSITIONS angstrom
O 3.0972 2.2967 11.5404
O -1.2092 8.4152 5.3451
O -1.2848 5.5865 2.2947
O 1.8551 -0.0011 0.7894
O 2.7736 3.6846 9.5862
O 5.0300 3.1159 10.2904
O -0.6902 5.7128 7.7178
O 4.9544 0.2873 7.2400
O 0.5704 4.3540 5.5032
O 0.5945 1.3576 11.1598
O 3.1507 7.3448 1.4253
O 1.8124 6.6518 7.3373
O 1.8901 8.7036 11.7958
O 0.0756 4.0601 0.9475
O 3.6696 4.6424 11.6376
O 5.7929 1.4824 1.3480
O 0.0000 1.2314 3.9979
O 0.6480 6.4058 1.0448
O 1.4888 8.0398 9.2915
O 4.4355 2.9897 4.8673
O 4.5082 5.8375 4.9446
O 3.1748 4.3485 7.0819
O 3.7452 7.4710 8.5872
O -2.0477 7.2201 11.2372
O 0.9716 5.0178 2.9989
O 2.2564 0.6627 3.2936
O 1.9328 2.0506 5.2478
O -0.7630 2.8650 7.6405
H -0.2093 7.8495 0.7284
H 4.0282 7.4010 10.2832
H -0.2829 1.3015 2.3019
H 0.5929 4.5754 4.5250
H -1.3773 6.4092 7.9173
H 1.4736 1.7913 11.3680
H -1.5052 6.7859 5.1188
H 5.2504 1.9166 7.4663
H 5.1225 2.2933 4.6678
H 3.9656 6.2717 11.4114
H 3.8378 6.6484 1.6247
H 1.8676 8.4822 10.8176
H 5.3129 3.0458 8.5944
H -1.5677 5.6566 3.9907
H -0.2204 2.4308 1.1737
H 2.2716 6.9112 1.2171
H 0.1889 6.1464 7.5097
H 3.1523 4.1271 8.0601
H 1.8777 0.2202 1.7675
H 2.6698 5.2081 7.0209
H -0.0926 2.0541 10.9604
H 1.0754 3.4944 5.5642
H 3.5563 2.5561 5.0754
H 3.9545 0.8530 11.8567
Cs 3.1554 3.1922 1.8423
Cs 1.8706 7.5473 4.4502
Cs 0.5898 5.5103 10.7428
Cs 1.8746 1.1552 8.1349
S 2.3640 7.8031 8.1167
S 3.6488 3.4480 10.7610
S 1.3812 0.8994 4.4684
S 0.0965 5.2545 1.8241
Ni 0.0000 0.0000 0.0000
Ni -1.2848 4.3551 6.2926
```